Here is an optimized crystal structure of DyPuBe from Alexandria via LeMat-Bulk. Energies are from GGA-PBE.

- Fermi-level density of states (states/eV per atom) = 2.638
- density (g/cm3) = 10.47
- calculated formation energy (eV per atom) = 0.1875

Cell lengths 5.7148, 5.7148, 6.8883 Å; angles 121.63, 121.63, 45.43 degrees
Atoms (fractional coordinates):
Dy  0.0797  0.0797  0.3389
Dy  0.9203  0.9203  0.6611
Pu  0.3264  0.3264  0.9379
Pu  0.6736  0.6736  0.0621
Be  0.3772  0.3772  0.3762
Be  0.6228  0.6228  0.6238

Here is an optimized crystal structure of Rb2DyBe2S4 from Alexandria via LeMat-Bulk. Energies are from GGA-PBE.

- Fermi-level density of states (states/eV per atom) = 0.368
- density (g/cm3) = 3.90
- formation energy without anion corrections (eV per formula unit) = -10.76

Cell lengths 7.5543, 7.5543, 8.0194 Å; angles 109.95, 109.95, 28.47 degrees
Atoms (fractional coordinates):
Rb  0.1307  0.1307  0.0428
Rb  0.8693  0.8693  0.9572
Dy  0.0000  0.0000  0.5000
Be  0.3285  0.3285  0.5248
Be  0.6715  0.6715  0.4752
S  0.2047  0.2047  0.6338
S  0.4642  0.4642  0.7261
S  0.5358  0.5358  0.2739
S  0.7953  0.7953  0.3662

Here is an optimized crystal structure of RbDyBeS3 from Alexandria via LeMat-Bulk. Energies are from GGA-PBE.

- Fermi-level density of states (states/eV per atom) = 0.000
- density (g/cm3) = 3.77
- formation energy without anion corrections (eV per formula unit) = -9.34

Cell lengths 9.2239, 3.8815, 9.2627 Å; angles 90.00, 110.15, 90.00 degrees
Atoms (fractional coordinates):
Rb  0.2044  0.2500  0.2362
Rb  0.7956  0.7500  0.7638
Dy  0.3329  0.7500  0.8514
Dy  0.6671  0.2500  0.1486
Be  0.0749  0.2500  0.6047
Be  0.9251  0.7500  0.3953
S  0.1203  0.2500  0.8391
S  0.1617  0.7500  0.5325
S  0.4660  0.7500  0.1616
S  0.5340  0.2500  0.8384
S  0.8383  0.2500  0.4675
S  0.8797  0.7500  0.1609

Here is an optimized crystal structure of RbDyBeSe3 from Alexandria via LeMat-Bulk. Energies are from GGA-PBE.

- Fermi-level density of states (states/eV per atom) = 0.000
- density (g/cm3) = 4.68
- formation energy without anion corrections (eV per formula unit) = -8.39

Cell lengths 9.5789, 4.0317, 9.6906 Å; angles 90.00, 110.51, 90.00 degrees
Atoms (fractional coordinates):
Rb  0.2065  0.2500  0.2370
Rb  0.7935  0.7500  0.7630
Dy  0.3315  0.7500  0.8546
Dy  0.6685  0.2500  0.1454
Be  0.0768  0.2500  0.6047
Be  0.9232  0.7500  0.3953
Se  0.1161  0.2500  0.8436
Se  0.1697  0.7500  0.5321
Se  0.4672  0.7500  0.1661
Se  0.5328  0.2500  0.8339
Se  0.8303  0.2500  0.4679
Se  0.8839  0.7500  0.1564

Here is an optimized crystal structure of RbDyBeTe3 from Alexandria via LeMat-Bulk. Energies are from GGA-PBE.

- density (g/cm3) = 4.83
- formation energy without anion corrections (eV per formula unit) = -5.60

Cell lengths 11.3003, 11.3003, 9.5382 Å; angles 102.71, 102.71, 21.73 degrees
Atoms (fractional coordinates):
Rb  0.1279  0.1279  0.0044
Rb  0.8721  0.8721  0.9956
Dy  0.1647  0.1647  0.4954
Dy  0.8353  0.8353  0.5046
Be  0.4838  0.4838  0.3143
Be  0.5162  0.5162  0.6857
Te  0.0327  0.0327  0.2798
Te  0.2942  0.2942  0.6930
Te  0.3774  0.3774  0.3118
Te  0.6226  0.6226  0.6882
Te  0.7058  0.7058  0.3070
Te  0.9673  0.9673  0.7202

Here is an optimized crystal structure of DyBe17Re from Alexandria via LeMat-Bulk. Energies are from GGA-PBE.

- Fermi-level density of states (states/eV per atom) = 0.267
- density (g/cm3) = 4.77
- calculated formation energy (eV per atom) = -0.0930

Cell lengths 5.6279, 5.6279, 5.6279 Å; angles 83.03, 83.03, 83.03 degrees
Atoms (fractional coordinates):
Dy  0.0000  0.0000  0.0000
Be  0.0100  0.0100  0.4945
Be  0.0100  0.4945  0.0100
Be  0.1591  0.6595  0.6595
Be  0.3206  0.3206  0.8110
Be  0.3206  0.8110  0.3206
Be  0.3721  0.6526  0.9552
Be  0.3721  0.9552  0.6526
Be  0.4945  0.0100  0.0100
Be  0.5571  0.5571  0.5571
Be  0.6526  0.3721  0.9552
Be  0.6526  0.9552  0.3721
Be  0.6595  0.1591  0.6595
Be  0.6595  0.6595  0.1591
Be  0.7507  0.7507  0.7507
Be  0.8110  0.3206  0.3206
Be  0.9552  0.3721  0.6526
Be  0.9552  0.6526  0.3721
Re  0.3243  0.3243  0.3243